(i)
## NdDy2Th2 (PBE)

Data for a geometry-optimized NdDy2Th2 structure.

Unit cell a=3.579 b=3.579 c=14.680 alpha=90.00 beta=90.00 gamma=120.00
Atoms (fractional coordinates):
Nd1 0.000 0.000 0.000
Dy1 0.333 0.667 0.799
Dy2 0.667 0.333 0.201
Th1 0.333 0.667 0.401
Th2 0.667 0.333 0.599

Summary:
crystal system = trigonal
total magnetic moment = 0.0 μB/f.u.

(ii)
## NdDy2Th2 (PBE)

Data for a geometry-optimized NdDy2Th2 structure.

Unit cell a=14.715 b=14.715 c=14.715 alpha=14.01 beta=14.01 gamma=14.01
Atoms (fractional coordinates):
Nd1 0.000 0.000 0.000
Dy1 0.402 0.402 0.402
Dy2 0.598 0.598 0.598
Th1 0.199 0.199 0.199
Th2 0.801 0.801 0.801

Summary:
crystal system = trigonal
total magnetic moment = 0.0 μB/f.u.

We find (ii) to be the most stable, with the next structure 18 meV/atom higher.

(i)
## Nd3Dy6Th (PBE)

Data for a geometry-optimized Nd3Dy6Th structure.

Unit cell a=9.017 b=9.017 c=9.075 alpha=90.00 beta=90.00 gamma=116.23
Atoms (fractional coordinates):
Nd1 0.052 0.948 0.500
Nd2 0.186 0.317 0.684
Nd3 0.317 0.186 0.184
Nd4 0.683 0.814 0.684
Nd5 0.814 0.683 0.184
Nd6 0.948 0.052 0.000
Dy1 0.028 0.328 0.356
Dy2 0.176 0.472 0.019
Dy3 0.280 0.720 0.621
Dy4 0.328 0.028 0.856
Dy5 0.446 0.554 0.366
Dy6 0.472 0.176 0.519
Dy7 0.528 0.824 0.019
Dy8 0.554 0.446 0.866
Dy9 0.672 0.972 0.356
Dy10 0.720 0.280 0.121
Dy11 0.824 0.528 0.519
Dy12 0.972 0.672 0.856
Th1 0.225 0.775 0.258
Th2 0.775 0.225 0.758

Summary:
crystal system = orthorhombic
total magnetic moment = 0.0 μB/f.u.

(ii)
## Nd3Dy6Th (PBE)

Data for a geometry-optimized Nd3Dy6Th structure.

Unit cell a=6.632 b=6.632 c=9.610 alpha=110.77 beta=110.77 gamma=59.85
Atoms (fractional coordinates):
Nd1 0.000 0.000 0.000
Nd2 0.069 0.069 0.690
Nd3 0.931 0.931 0.310
Dy1 0.066 0.562 0.686
Dy2 0.365 0.365 0.082
Dy3 0.438 0.934 0.314
Dy4 0.562 0.066 0.686
Dy5 0.635 0.635 0.918
Dy6 0.934 0.438 0.314
Th1 0.500 0.500 0.500

Summary:
crystal system = monoclinic
total magnetic moment = 0.0 μB/f.u.

We find (i) to be the most stable, with the next structure 84 meV/atom higher.

(i)
## Nd5Dy4Th (PBE)

Data for a geometry-optimized Nd5Dy4Th structure.

Unit cell a=8.776 b=8.776 c=11.572 alpha=108.24 beta=108.24 gamma=23.43
Atoms (fractional coordinates):
Nd1 0.000 0.000 0.000
Nd2 0.298 0.298 0.390
Nd3 0.310 0.310 0.917
Nd4 0.690 0.690 0.083
Nd5 0.702 0.702 0.610
Dy1 0.105 0.105 0.798
Dy2 0.418 0.418 0.703
Dy3 0.582 0.582 0.297
Dy4 0.895 0.895 0.202
Th1 0.000 0.000 0.500

Summary:
crystal system = monoclinic
total magnetic moment = 0.0 μB/f.u.

(ii)
## Nd5Dy4Th (PBE)

Data for a geometry-optimized Nd5Dy4Th structure.

Unit cell a=9.340 b=9.340 c=10.620 alpha=96.46 beta=96.46 gamma=22.15
Atoms (fractional coordinates):
Nd1 0.000 0.000 0.000
Nd2 0.309 0.309 0.902
Nd3 0.362 0.362 0.277
Nd4 0.638 0.638 0.723
Nd5 0.691 0.691 0.098
Dy1 0.180 0.180 0.418
Dy2 0.452 0.452 0.739
Dy3 0.548 0.548 0.261
Dy4 0.820 0.820 0.582
Th1 0.000 0.000 0.500

Summary:
crystal system = monoclinic
total magnetic moment = 0.0 μB/f.u.

We find (i) to be the most stable, with the next structure 108 meV/atom higher.

(i)
## Nd12Dy7Th (PBE)

Data for a geometry-optimized Nd12Dy7Th structure.

Unit cell a=11.605 b=11.605 c=11.605 alpha=116.85 beta=116.85 gamma=116.85
Atoms (fractional coordinates):
Nd1 0.000 0.412 0.588
Nd2 0.000 0.588 0.412
Nd3 0.100 0.100 0.454
Nd4 0.100 0.454 0.100
Nd5 0.412 0.000 0.588
Nd6 0.412 0.588 0.000
Nd7 0.454 0.100 0.100
Nd8 0.546 0.900 0.900
Nd9 0.588 0.000 0.412
Nd10 0.588 0.412 0.000
Nd11 0.900 0.546 0.900
Nd12 0.900 0.900 0.546
Dy1 0.000 0.000 0.000
Dy2 0.111 0.358 0.358
Dy3 0.358 0.111 0.358
Dy4 0.358 0.358 0.111
Dy5 0.642 0.642 0.889
Dy6 0.642 0.889 0.642
Dy7 0.889 0.642 0.642
Th1 0.500 0.500 0.500

Summary:
crystal system = trigonal
total magnetic moment = 0.0 μB/f.u.

(ii)
## Nd12Dy7Th (PBE)

Data for a geometry-optimized Nd12Dy7Th structure.

Unit cell a=8.814 b=8.814 c=8.814 alpha=90.13 beta=90.13 gamma=90.13
Atoms (fractional coordinates):
Nd1 0.003 0.122 0.647
Nd2 0.122 0.647 0.003
Nd3 0.223 0.763 0.624
Nd4 0.237 0.376 0.777
Nd5 0.353 0.997 0.878
Nd6 0.376 0.777 0.237
Nd7 0.624 0.223 0.763
Nd8 0.647 0.003 0.122
Nd9 0.763 0.624 0.223
Nd10 0.777 0.237 0.376
Nd11 0.878 0.353 0.997
Nd12 0.997 0.878 0.353
Dy1 0.000 0.000 0.000
Dy2 0.121 0.442 0.349
Dy3 0.349 0.121 0.442
Dy4 0.442 0.349 0.121
Dy5 0.558 0.651 0.879
Dy6 0.651 0.879 0.558
Dy7 0.879 0.558 0.651
Th1 0.500 0.500 0.500

Summary:
crystal system = trigonal
total magnetic moment = 0.0 μB/f.u.

We find (ii) to be the most stable, with the next structure 50 meV/atom higher.

(i)
## Nd4Dy5Th2 (PBE)

Data for a geometry-optimized Nd4Dy5Th2 structure.

Unit cell a=11.030 b=11.030 c=11.030 alpha=161.69 beta=116.40 gamma=66.79
Atoms (fractional coordinates):
Nd1 0.091 0.091 0.000
Nd2 0.237 0.500 0.737
Nd3 0.763 0.500 0.263
Nd4 0.909 0.909 0.000
Dy1 0.028 0.320 0.709
Dy2 0.389 0.680 0.709
Dy3 0.500 0.000 0.500
Dy4 0.611 0.320 0.291
Dy5 0.972 0.680 0.291
Th1 0.299 0.299 0.000
Th2 0.701 0.701 0.000

Summary:
crystal system = orthorhombic
total magnetic moment = 0.0 μB/f.u.

(ii)
## Nd4Dy5Th2 (PBE)

Data for a geometry-optimized Nd4Dy5Th2 structure.

Unit cell a=3.603 b=9.520 c=10.799 alpha=86.18 beta=89.99 gamma=79.22
Atoms (fractional coordinates):
Nd1 0.089 0.322 0.455
Nd2 0.361 0.778 0.825
Nd3 0.639 0.222 0.175
Nd4 0.911 0.678 0.545
Dy1 0.000 0.500 0.000
Dy2 0.274 0.952 0.361
Dy3 0.452 0.595 0.268
Dy4 0.548 0.405 0.732
Dy5 0.726 0.048 0.639
Th1 0.183 0.134 0.907
Th2 0.817 0.866 0.093

Summary:
crystal system = triclinic
total magnetic moment = 0.0 μB/f.u.

We find (ii) to be the most stable, with the next structure 235 meV/atom higher.

(i)
## Nd4Dy3Th2 (PBE)

Data for a geometry-optimized Nd4Dy3Th2 structure.

Unit cell a=10.115 b=10.115 c=6.208 alpha=96.32 beta=96.32 gamma=71.95
Atoms (fractional coordinates):
Nd1 0.086 0.812 0.983
Nd2 0.153 0.415 0.152
Nd3 0.188 0.914 0.517
Nd4 0.415 0.153 0.652
Nd5 0.585 0.847 0.348
Nd6 0.812 0.086 0.483
Nd7 0.847 0.585 0.848
Nd8 0.914 0.188 0.017
Dy1 0.057 0.283 0.581
Dy2 0.283 0.057 0.081
Dy3 0.392 0.608 0.250
Dy4 0.608 0.392 0.750
Dy5 0.717 0.943 0.919
Dy6 0.943 0.717 0.419
Th1 0.255 0.528 0.690
Th2 0.472 0.745 0.810
Th3 0.528 0.255 0.190
Th4 0.745 0.472 0.310

Summary:
crystal system = monoclinic
total magnetic moment = 0.0 μB/f.u.

(ii)
## Nd4Dy3Th2 (PBE)

Data for a geometry-optimized Nd4Dy3Th2 structure.

Unit cell a=3.591 b=3.591 c=27.115 alpha=90.00 beta=90.00 gamma=120.00
Atoms (fractional coordinates):
Nd1 0.000 0.000 0.000
Nd2 0.000 0.000 0.215
Nd3 0.333 0.667 0.330
Nd4 0.333 0.667 0.548
Dy1 0.000 0.000 0.438
Dy2 0.333 0.667 0.107
Dy3 0.333 0.667 0.766
Th1 0.000 0.000 0.658
Th2 0.000 0.000 0.873

Summary:
crystal system = trigonal
total magnetic moment = 0.0 μB/f.u.

We find (ii) to be the most stable, with the next structure 38 meV/atom higher.

(i)
## Nd5Dy4Th2 (PBE)

Data for a geometry-optimized Nd5Dy4Th2 structure.

Unit cell a=8.922 b=3.524 c=11.886 alpha=90.00 beta=94.39 gamma=90.00
Atoms (fractional coordinates):
Nd1 0.000 0.000 0.000
Nd2 0.075 0.000 0.291
Nd3 0.308 0.000 0.837
Nd4 0.692 0.000 0.163
Nd5 0.925 0.000 0.709
Dy1 0.198 0.500 0.547
Dy2 0.340 0.500 0.109
Dy3 0.660 0.500 0.891
Dy4 0.802 0.500 0.453
Th1 0.460 0.000 0.367
Th2 0.540 0.000 0.633

Summary:
crystal system = monoclinic
total magnetic moment = 0.0 μB/f.u.

(ii)
## Nd5Dy4Th2 (PBE)

Data for a geometry-optimized Nd5Dy4Th2 structure.

Unit cell a=14.866 b=14.866 c=14.866 alpha=166.44 beta=149.85 gamma=33.19
Atoms (fractional coordinates):
Nd1 0.000 0.000 0.000
Nd2 0.061 0.305 0.757
Nd3 0.452 0.695 0.757
Nd4 0.548 0.305 0.243
Nd5 0.939 0.695 0.243
Dy1 0.322 0.500 0.822
Dy2 0.399 0.899 0.500
Dy3 0.601 0.101 0.500
Dy4 0.678 0.500 0.178
Th1 0.101 0.601 0.500
Th2 0.899 0.399 0.500

Summary:
crystal system = orthorhombic
total magnetic moment = 0.0 μB/f.u.

We find (i) to be the most stable, with the next structure 272 meV/atom higher.

(i)
## Nd12Dy5Th2 (PBE)

Data for a geometry-optimized Nd12Dy5Th2 structure.

Unit cell a=11.799 b=11.799 c=8.790 alpha=109.16 beta=109.16 gamma=35.09
Atoms (fractional coordinates):
Nd1 0.045 0.551 0.707
Nd2 0.047 0.047 0.201
Nd3 0.138 0.648 0.113
Nd4 0.352 0.862 0.887
Nd5 0.362 0.362 0.451
Nd6 0.449 0.955 0.293
Nd7 0.551 0.045 0.707
Nd8 0.638 0.638 0.549
Nd9 0.648 0.138 0.113
Nd10 0.862 0.352 0.887
Nd11 0.953 0.953 0.799
Nd12 0.955 0.449 0.293
Dy1 0.149 0.149 0.596
Dy2 0.251 0.251 0.006
Dy3 0.500 0.500 0.000
Dy4 0.749 0.749 0.994
Dy5 0.851 0.851 0.404
Th1 0.249 0.751 0.500
Th2 0.751 0.249 0.500

Summary:
crystal system = monoclinic
total magnetic moment = 0.0 μB/f.u.

(ii)
## Nd12Dy5Th2 (PBE)

Data for a geometry-optimized Nd12Dy5Th2 structure.

Unit cell a=10.175 b=10.175 c=8.609 alpha=108.42 beta=108.42 gamma=53.57
Atoms (fractional coordinates):
Nd1 0.034 0.034 0.200
Nd2 0.119 0.585 0.040
Nd3 0.169 0.542 0.618
Nd4 0.415 0.881 0.960
Nd5 0.440 0.440 0.329
Nd6 0.458 0.831 0.382
Nd7 0.542 0.169 0.618
Nd8 0.560 0.560 0.671
Nd9 0.585 0.119 0.040
Nd10 0.831 0.458 0.382
Nd11 0.881 0.415 0.960
Nd12 0.966 0.966 0.800
Dy1 0.194 0.194 0.688
Dy2 0.238 0.238 0.252
Dy3 0.500 0.500 0.000
Dy4 0.762 0.762 0.748
Dy5 0.806 0.806 0.312
Th1 0.171 0.829 0.500
Th2 0.829 0.171 0.500

Summary:
crystal system = monoclinic
total magnetic moment = 0.0 μB/f.u.

We find (i) to be the most stable, with the next structure 89 meV/atom higher.